Here is a geometry-optimized LaTbYSc structure from Alexandria via LeMat-Bulk. Energies are from GGA-PBE.

Unit cell a=5.632 b=5.632 c=5.632 alpha=60.00 beta=60.00 gamma=60.00
Positions (direct):
1 La 0.000 0.000 0.000
2 Tb 0.500 0.500 0.500
3 Y 0.750 0.750 0.750
4 Sc 0.250 0.250 0.250

- excess energy over the best structure of this formula in the dataset (meV/atom) = 50.0
- V (Å³/atom) = 31.6
- symmetry = No. 216
- calculated density (Mg/m³) = 5.7